This record from the Alexandria database describes a geometry-optimized SiBRu2 structure. The functional is PBE.

Lattice parameters (Å, degrees): 2.819 2.819 5.683 90.00 90.00 90.00
Positions (direct):
Ru1 0.000 0.000 0.767
Ru2 0.000 0.000 0.233
Si1 0.500 0.500 0.500
B1 0.500 0.500 0.000

Calculated values
M_tot   0.0000 μB/atom
Symmetry   No. 123
Formation energy from raw total energies   -231 meV per atom

---

This record from the Alexandria database describes a geometry-optimized SiBRu structure. The functional is PBE.

Lattice parameters (Å, degrees): 3.817 3.018 6.301 103.86 107.63 90.00
Positions (direct):
Si1 0.619 0.119 0.238
Si2 0.381 0.881 0.762
B1 0.738 0.500 0.000
B2 0.262 0.500 0.000
Ru1 0.166 0.666 0.332
Ru2 0.834 0.334 0.668

Calculated values
M_tot   0.0000 μB/atom
Symmetry   No. 71
Formation energy from raw total energies   -169 meV per atom

---

This record from the Alexandria database describes a geometry-optimized SiBRu2 structure. The functional is PBE.

Lattice parameters (Å, degrees): 4.009 4.009 4.009 60.00 60.00 60.00
Positions (direct):
Ru1 0.250 0.250 0.250
Ru2 0.750 0.750 0.750
Si1 0.500 0.500 0.500
B1 0.000 0.000 0.000

Calculated values
M_tot   0.0000 μB/atom
Symmetry   No. 225
Formation energy from raw total energies   -187 meV per atom

---

This record from the Alexandria database describes a geometry-optimized SiBRu3 structure. The functional is PBE.

Lattice parameters (Å, degrees): 4.029 4.029 4.029 90.00 90.00 90.00
Each line ends with the local moment (μB).
Positions (direct):
Ru1 0.000 0.500 0.000  0.06
Ru2 0.000 0.000 0.500  0.10
Ru3 0.500 0.000 0.000  0.06
Si1 0.500 0.500 0.500  0.00
B1 0.000 0.000 0.000  0.00

Calculated values
M_tot   0.0456 μB/atom
Symmetry   No. 221
Formation energy from raw total energies   39 meV per atom

---

This record from the Alexandria database describes a geometry-optimized SiB2Ru2 structure. The functional is PBE.

Lattice parameters (Å, degrees): 6.222 6.222 2.881 90.00 90.00 90.00
Positions (direct):
Ru1 0.337 0.837 0.000
Ru2 0.837 0.663 0.000
Ru3 0.663 0.163 0.000
Ru4 0.163 0.337 0.000
Si1 0.000 0.000 0.000
Si2 0.500 0.500 0.000
B1 0.114 0.614 0.500
B2 0.614 0.886 0.500
B3 0.886 0.386 0.500
B4 0.386 0.114 0.500

Calculated values
M_tot   0.0002 μB/atom
Symmetry   No. 127
Formation energy from raw total energies   97 meV per atom

---

This record from the Alexandria database describes a geometry-optimized SiB2Ru2 structure. The functional is PBE.

Lattice parameters (Å, degrees): 2.913 2.913 6.535 77.12 77.12 90.00
Positions (direct):
Ru1 0.383 0.383 0.234
Ru2 0.617 0.617 0.766
Si1 0.000 0.000 0.000
B1 0.750 0.250 0.500
B2 0.250 0.750 0.500

Calculated values
M_tot   0.0000 μB/atom
Symmetry   No. 139
Formation energy from raw total energies   -431 meV per atom

---

This record from the Alexandria database describes a geometry-optimized SmSiBRu2 structure. The functional is PBE.

Lattice parameters (Å, degrees): 3.998 5.918 7.193 90.00 90.00 109.74
Positions (direct):
Sm1 0.448 0.896 0.750
Sm2 0.552 0.104 0.250
Si1 0.727 0.453 0.750
Si2 0.273 0.547 0.250
B1 0.000 0.000 0.000
B2 0.000 0.000 0.500
Ru1 0.171 0.342 0.940
Ru2 0.829 0.658 0.060
Ru3 0.171 0.342 0.560
Ru4 0.829 0.658 0.440

Calculated values
M_tot   0.0000 μB/atom
Symmetry   No. 63
Formation energy from raw total energies   -603 meV per atom

---

This record from the Alexandria database describes a geometry-optimized Sm2SiB2Ru5 structure. The functional is PBE.

Lattice parameters (Å, degrees): 3.102 9.606 9.606 90.00 90.00 90.00
Positions (direct):
Sm1 0.000 0.676 0.176
Sm2 0.000 0.324 0.824
Sm3 0.000 0.176 0.324
Sm4 0.000 0.824 0.676
Si1 0.000 0.000 0.000
Si2 0.000 0.500 0.500
B1 0.000 0.123 0.623
B2 0.000 0.877 0.377
B3 0.000 0.623 0.877
B4 0.000 0.377 0.123
Ru1 0.500 0.213 0.067
Ru2 0.500 0.787 0.933
Ru3 0.500 0.067 0.787
Ru4 0.500 0.713 0.433
Ru5 0.500 0.933 0.213
Ru6 0.500 0.287 0.567
Ru7 0.500 0.567 0.713
Ru8 0.500 0.433 0.287
Ru9 0.500 0.500 0.000
Ru10 0.500 0.000 0.500

Calculated values
M_tot   0.0000 μB/atom
Symmetry   No. 127
Formation energy from raw total energies   -433 meV per atom

---

This record from the Alexandria database describes a geometry-optimized Sr2Si2BRu2 structure. The functional is PBE.

Lattice parameters (Å, degrees): 4.292 6.105 6.321 74.87 70.16 69.42
Positions (direct):
Sr1 0.564 0.186 0.685
Sr2 0.436 0.814 0.315
Si1 0.190 0.380 0.241
Si2 0.810 0.620 0.759
B1 0.000 0.000 0.000
Ru1 0.203 0.683 0.911
Ru2 0.797 0.317 0.089

Calculated values
M_tot   0.0000 μB/atom
Symmetry   No. 12
Formation energy from raw total energies   -514 meV per atom

---

This record from the Alexandria database describes a geometry-optimized Ta2SiB2Ru5 structure. The functional is PBE.

Lattice parameters (Å, degrees): 2.961 9.278 9.278 90.00 90.00 90.00
Positions (direct):
Ta1 0.000 0.677 0.177
Ta2 0.000 0.323 0.823
Ta3 0.000 0.177 0.323
Ta4 0.000 0.823 0.677
Si1 0.000 0.000 0.000
Si2 0.000 0.500 0.500
B1 0.000 0.125 0.625
B2 0.000 0.875 0.375
B3 0.000 0.625 0.875
B4 0.000 0.375 0.125
Ru1 0.500 0.211 0.067
Ru2 0.500 0.789 0.933
Ru3 0.500 0.067 0.789
Ru4 0.500 0.711 0.433
Ru5 0.500 0.933 0.211
Ru6 0.500 0.289 0.567
Ru7 0.500 0.567 0.711
Ru8 0.500 0.433 0.289
Ru9 0.500 0.500 0.000
Ru10 0.500 0.000 0.500

Calculated values
M_tot   0.0000 μB/atom
Symmetry   No. 127
Formation energy from raw total energies   -633 meV per atom

---

This record from the Alexandria database describes a geometry-optimized Tb2Si2BRu2 structure. The functional is PBE.

Lattice parameters (Å, degrees): 4.164 5.908 5.799 72.93 68.96 69.36
Positions (direct):
Tb1 0.565 0.172 0.698
Tb2 0.435 0.828 0.302
Si1 0.154 0.399 0.292
Si2 0.846 0.601 0.708
B1 0.000 0.000 0.000
Ru1 0.213 0.682 0.892
Ru2 0.787 0.318 0.108

Calculated values
M_tot   0.0000 μB/atom
Symmetry   No. 12
Formation energy from raw total energies   -821 meV per atom

---

This record from the Alexandria database describes a geometry-optimized Tb3Si2BRu3 structure. The functional is PBE.

Lattice parameters (Å, degrees): 3.560 7.079 7.079 120.00 90.00 90.00
Positions (direct):
Tb1 0.000 0.000 0.380
Tb2 0.000 0.620 0.620
Tb3 0.000 0.380 0.000
Si1 0.500 0.333 0.667
Si2 0.500 0.667 0.333
B1 0.000 0.000 0.000
Ru1 0.500 0.770 0.000
Ru2 0.500 0.230 0.230
Ru3 0.500 0.000 0.770

Calculated values
M_tot   0.0000 μB/atom
Symmetry   No. 189
Formation energy from raw total energies   -544 meV per atom

---

This record from the Alexandria database describes a geometry-optimized Tb2SiB2Ru5 structure. The functional is PBE.

Lattice parameters (Å, degrees): 3.086 9.528 9.528 90.00 90.00 90.00
Positions (direct):
Tb1 0.000 0.676 0.176
Tb2 0.000 0.324 0.824
Tb3 0.000 0.176 0.324
Tb4 0.000 0.824 0.676
Si1 0.000 0.000 0.000
Si2 0.000 0.500 0.500
B1 0.000 0.123 0.623
B2 0.000 0.877 0.377
B3 0.000 0.623 0.877
B4 0.000 0.377 0.123
Ru1 0.500 0.213 0.067
Ru2 0.500 0.787 0.933
Ru3 0.500 0.067 0.787
Ru4 0.500 0.713 0.433
Ru5 0.500 0.933 0.213
Ru6 0.500 0.287 0.567
Ru7 0.500 0.567 0.713
Ru8 0.500 0.433 0.287
Ru9 0.500 0.500 0.000
Ru10 0.500 0.000 0.500

Calculated values
M_tot   0.0000 μB/atom
Symmetry   No. 127
Formation energy from raw total energies   -523 meV per atom

---

This record from the Alexandria database describes a geometry-optimized ThSiBRu3 structure. The functional is PBE.

Lattice parameters (Å, degrees): 5.806 5.771 6.485 116.42 90.00 90.00
Positions (direct):
Th1 0.750 0.254 0.509
Th2 0.250 0.746 0.491
Si1 0.250 0.381 0.762
Si2 0.750 0.619 0.238
B1 0.250 0.996 0.991
B2 0.750 0.004 0.009
Ru1 0.250 0.180 0.359
Ru2 0.000 0.253 0.000
Ru3 0.500 0.747 0.000
Ru4 0.500 0.253 0.000
Ru5 0.000 0.747 0.000
Ru6 0.750 0.820 0.641

Calculated values
M_tot   0.0000 μB/atom
Symmetry   No. 63
Formation energy from raw total energies   -517 meV per atom

---

This record from the Alexandria database describes a geometry-optimized Ti2SiB2Ru5 structure. The functional is PBE.

Lattice parameters (Å, degrees): 2.966 9.161 9.161 90.00 90.00 90.00
Positions (direct):
Ti1 0.000 0.675 0.175
Ti2 0.000 0.325 0.825
Ti3 0.000 0.175 0.325
Ti4 0.000 0.825 0.675
Si1 0.000 0.000 0.000
Si2 0.000 0.500 0.500
B1 0.000 0.126 0.626
B2 0.000 0.874 0.374
B3 0.000 0.626 0.874
B4 0.000 0.374 0.126
Ru1 0.500 0.210 0.071
Ru2 0.500 0.790 0.929
Ru3 0.500 0.071 0.790
Ru4 0.500 0.710 0.429
Ru5 0.500 0.929 0.210
Ru6 0.500 0.290 0.571
Ru7 0.500 0.571 0.710
Ru8 0.500 0.429 0.290
Ru9 0.500 0.500 0.000
Ru10 0.500 0.000 0.500

Calculated values
M_tot   0.0000 μB/atom
Symmetry   No. 127
Formation energy from raw total energies   -698 meV per atom

---

This record from the Alexandria database describes a geometry-optimized Tm2SiB2Ru5 structure. The functional is PBE.

Lattice parameters (Å, degrees): 3.069 9.450 9.450 90.00 90.00 90.00
Positions (direct):
Tm1 0.000 0.676 0.176
Tm2 0.000 0.324 0.824
Tm3 0.000 0.176 0.324
Tm4 0.000 0.824 0.676
Si1 0.000 0.000 0.000
Si2 0.000 0.500 0.500
B1 0.000 0.124 0.624
B2 0.000 0.876 0.376
B3 0.000 0.624 0.876
B4 0.000 0.376 0.124
Ru1 0.500 0.212 0.068
Ru2 0.500 0.788 0.932
Ru3 0.500 0.068 0.788
Ru4 0.500 0.712 0.432
Ru5 0.500 0.932 0.212
Ru6 0.500 0.288 0.568
Ru7 0.500 0.568 0.712
Ru8 0.500 0.432 0.288
Ru9 0.500 0.500 0.000
Ru10 0.500 0.000 0.500

Calculated values
M_tot   0.0000 μB/atom
Symmetry   No. 127
Formation energy from raw total energies   -599 meV per atom

---

This record from the Alexandria database describes a geometry-optimized Tm2Si2BRu2 structure. The functional is PBE.

Lattice parameters (Å, degrees): 4.122 5.845 5.734 72.27 68.93 69.35
Positions (direct):
Tm1 0.566 0.170 0.699
Tm2 0.434 0.830 0.301
Si1 0.150 0.400 0.299
Si2 0.850 0.600 0.701
B1 0.000 0.000 0.000
Ru1 0.214 0.683 0.889
Ru2 0.786 0.317 0.111

Calculated values
M_tot   0.0000 μB/atom
Symmetry   No. 12
Formation energy from raw total energies   -823 meV per atom

---

This record from the Alexandria database describes a geometry-optimized U2SiB2Ru5 structure. The functional is PBE.

Lattice parameters (Å, degrees): 3.090 9.505 9.505 90.00 90.00 90.00
Each line ends with the local moment (μB).
Positions (direct):
U1 0.000 0.676 0.176  1.16
U2 0.000 0.324 0.824  1.16
U3 0.000 0.176 0.324  1.16
U4 0.000 0.824 0.676  1.16
Si1 0.000 0.000 0.000  0.00
Si2 0.000 0.500 0.500  0.00
B1 0.000 0.123 0.623  0.00
B2 0.000 0.877 0.377  0.00
B3 0.000 0.623 0.877  0.00
B4 0.000 0.377 0.123  0.00
Ru1 0.500 0.214 0.070  -0.08
Ru2 0.500 0.786 0.930  -0.08
Ru3 0.500 0.070 0.786  -0.08
Ru4 0.500 0.714 0.430  -0.08
Ru5 0.500 0.930 0.214  -0.08
Ru6 0.500 0.286 0.570  -0.08
Ru7 0.500 0.570 0.714  -0.08
Ru8 0.500 0.430 0.286  -0.08
Ru9 0.500 0.500 0.000  -0.13
Ru10 0.500 0.000 0.500  -0.13

Calculated values
M_tot   0.2020 μB/atom
Symmetry   No. 127
Formation energy from raw total energies   -526 meV per atom

---

This record from the Alexandria database describes a geometry-optimized V2SiB2Ru5 structure. The functional is PBE.

Lattice parameters (Å, degrees): 2.892 9.139 9.139 90.00 90.00 90.00
Each line ends with the local moment (μB).
Positions (direct):
V1 0.000 0.676 0.176  0.30
V2 0.000 0.324 0.824  0.30
V3 0.000 0.176 0.324  0.30
V4 0.000 0.824 0.676  0.30
Si1 0.000 0.000 0.000  0.00
Si2 0.000 0.500 0.500  0.00
B1 0.000 0.126 0.626  0.00
B2 0.000 0.874 0.374  0.00
B3 0.000 0.626 0.874  0.00
B4 0.000 0.374 0.126  0.00
Ru1 0.500 0.209 0.070  -0.03
Ru2 0.500 0.791 0.930  -0.03
Ru3 0.500 0.070 0.791  -0.03
Ru4 0.500 0.709 0.430  -0.03
Ru5 0.500 0.930 0.209  -0.03
Ru6 0.500 0.291 0.570  -0.03
Ru7 0.500 0.570 0.709  -0.03
Ru8 0.500 0.430 0.291  -0.03
Ru9 0.500 0.500 0.000  -0.01
Ru10 0.500 0.000 0.500  -0.01

Calculated values
M_tot   0.0525 μB/atom
Symmetry   No. 127
Formation energy from raw total energies   -500 meV per atom

---

This record from the Alexandria database describes a geometry-optimized Y2SiB2Ru5 structure. The functional is PBE.

Lattice parameters (Å, degrees): 3.085 9.523 9.523 90.00 90.00 90.00
Positions (direct):
Y1 0.000 0.676 0.176
Y2 0.000 0.324 0.824
Y3 0.000 0.176 0.324
Y4 0.000 0.824 0.676
Si1 0.000 0.000 0.000
Si2 0.000 0.500 0.500
B1 0.000 0.123 0.623
B2 0.000 0.877 0.377
B3 0.000 0.623 0.877
B4 0.000 0.377 0.123
Ru1 0.500 0.212 0.067
Ru2 0.500 0.788 0.933
Ru3 0.500 0.067 0.788
Ru4 0.500 0.712 0.433
Ru5 0.500 0.933 0.212
Ru6 0.500 0.288 0.567
Ru7 0.500 0.567 0.712
Ru8 0.500 0.433 0.288
Ru9 0.500 0.500 0.000
Ru10 0.500 0.000 0.500

Calculated values
M_tot   0.0000 μB/atom
Symmetry   No. 127
Formation energy from raw total energies   -521 meV per atom

---

Summary of volume in Å³ per cell
45 67 46 65 112 53 160 286 144 255 122 154 280 195 249 274 118 279 242 280
(order as listed above)